Entry 1:
VASP calculation (GGA-PBE) on a relaxed Sm7In2Pd2 crystal.

Magnetic moment   0.00 μB/atom
Density of states at the Fermi level   1.0485 states/eV per atom
Energy of formation   -0.333 eV per atom
VASP energy   -4.78 eV/atom

Lattice parameters (Å, degrees): 7.018 7.018 7.227 90.00 90.00 107.58
Element x y z (fractional)
Sm 0.000 0.000 0.000
Sm 0.000 0.500 0.257
Sm 0.000 0.500 0.743
Sm 0.500 0.000 0.257
Sm 0.500 0.000 0.743
Sm 0.500 0.500 0.250
Sm 0.500 0.500 0.750
In 0.172 0.172 0.500
In 0.828 0.828 0.500
Pd 0.291 0.709 0.000
Pd 0.709 0.291 0.000


Entry 2:
VASP calculation (GGA-PBE) on a relaxed NaTl4Cl5 crystal.

Magnetic moment   0.00 μB/atom
Density of states at the Fermi level   0.0000 states/eV per atom
VASP energy   -3.16 eV/atom
E_form (uncorrected)   -26.68 kcal/mol of atoms

Lattice parameters (Å, degrees): 12.093 12.093 12.093 159.06 149.40 37.37
Element x y z (fractional)
Na 0.000 0.000 0.000
Tl 0.194 0.194 0.000
Tl 0.402 0.402 0.000
Tl 0.598 0.598 0.000
Tl 0.806 0.806 0.000
Cl 0.083 0.583 0.500
Cl 0.294 0.794 0.500
Cl 0.500 0.000 0.500
Cl 0.706 0.206 0.500
Cl 0.917 0.417 0.500


Entry 3:
VASP calculation (GGA-PBE) on a relaxed ZrTiIr crystal.

Magnetic moment   0.00 μB/atom
Density of states at the Fermi level   1.0820 states/eV per atom
Energy of formation   -0.631 eV per atom
Energy relative to the lowest polymorph listed for this composition   0.134 eV per atom
VASP energy   -9.07 eV/atom

Lattice parameters (Å, degrees): 4.210 4.210 6.451 90.00 90.00 90.00
Element x y z (fractional)
Zr 0.250 0.250 0.138
Zr 0.750 0.750 0.862
Ti 0.250 0.750 0.500
Ti 0.750 0.250 0.500
Ir 0.250 0.250 0.733
Ir 0.750 0.750 0.267